(1)
A plane-wave DFT calculation with PBE-GGA was carried out for a relaxed NaSiRuBr2 crystal.

Unit cell a=5.408 b=5.408 c=4.482 alpha=90.00 beta=90.00 gamma=90.00
Sites, in units of the cell vectors:
Na 0.000 0.000 0.000
Si 0.500 0.500 0.000
Ru 0.500 0.500 0.500
Br 0.000 0.500 0.500
Br 0.500 0.000 0.500

Total magnetization, Bohr magnetons per cell: 0.00
Electronic total energy, eV/cell: -19.9
Energy relative to the elements, uncorrected, eV/atom: -0.10

***

(2)
A plane-wave DFT calculation with PBE-GGA was carried out for a relaxed Na2TcRuBr crystal.

Unit cell a=5.706 b=5.706 c=4.551 alpha=90.00 beta=90.00 gamma=90.00
Sites, in units of the cell vectors:
Na 0.000 0.500 0.000
Na 0.500 0.000 0.000
Tc 0.000 0.000 0.500
Ru 0.000 0.000 0.000
Br 0.500 0.500 0.500

Total magnetization, Bohr magnetons per cell: 2.61
Electronic total energy, eV/cell: -20.2
Energy relative to the elements, uncorrected, eV/atom: 0.76

***

(3)
A plane-wave DFT calculation with PBE-GGA was carried out for a relaxed Na2TiRuBr crystal.

Unit cell a=5.918 b=5.918 c=4.752 alpha=90.00 beta=90.00 gamma=90.00
Sites, in units of the cell vectors:
Na 0.000 0.500 0.000
Na 0.500 0.000 0.000
Ti 0.000 0.000 0.000
Ru 0.500 0.500 0.500
Br 0.000 0.000 0.500

Total magnetization, Bohr magnetons per cell: 2.36
Electronic total energy, eV/cell: -15.0
Energy relative to the elements, uncorrected, eV/atom: 1.30